Here is a crystal of MnHg2Pd relaxed with PBEsol from Alexandria. Energies are from SCAN.

Cell: 6.4762 6.4762 6.4762 Å, 90.00 90.00 90.00°
Last column: nearest neighbours and their distance in Å.
Fractional positions:
Mn 0.0000 0.0000 0.0000  8 Hg 2.80
Mn 0.0000 0.5000 0.5000  8 Hg 2.80
Mn 0.5000 0.0000 0.5000  8 Hg 2.80
Mn 0.5000 0.5000 0.0000  8 Hg 2.80
Hg 0.2500 0.2500 0.2500  4 Pd 2.80, 4 Mn 2.80
Hg 0.2500 0.2500 0.7500  4 Mn 2.80, 4 Pd 2.80
Hg 0.2500 0.7500 0.2500  4 Mn 2.80, 4 Pd 2.80
Hg 0.2500 0.7500 0.7500  4 Mn 2.80, 4 Pd 2.80
Hg 0.7500 0.2500 0.2500  4 Mn 2.80, 4 Pd 2.80
Hg 0.7500 0.2500 0.7500  4 Mn 2.80, 4 Pd 2.80
Hg 0.7500 0.7500 0.2500  4 Mn 2.80, 4 Pd 2.80
Hg 0.7500 0.7500 0.7500  4 Mn 2.80, 4 Pd 2.80
Pd 0.0000 0.0000 0.5000  8 Hg 2.80
Pd 0.0000 0.5000 0.0000  8 Hg 2.80
Pd 0.5000 0.0000 0.0000  8 Hg 2.80
Pd 0.5000 0.5000 0.5000  8 Hg 2.80

Properties
- E (eV per atom) = -46.99

Here is a crystal of LiLaMn2 relaxed with PBEsol from Alexandria. Energies are from SCAN.

Cell: 4.0822 4.0822 8.4368 Å, 90.00 90.00 90.00°
Last column: nearest neighbours and their distance in Å.
Fractional positions:
Li 0.0000 0.0000 0.0000  4 La 2.89, 8 Mn 2.94
Li 0.5000 0.5000 0.5000  4 La 2.89, 8 Mn 2.94
La 0.0000 0.0000 0.5000  4 Li 2.89, 8 Mn 2.94
La 0.5000 0.5000 0.0000  4 Li 2.89, 8 Mn 2.94
Mn 0.0000 0.5000 0.2500  4 Mn 2.89, 4 Li 2.94, 4 La 2.94
Mn 0.0000 0.5000 0.7500  4 Mn 2.89, 4 Li 2.94, 4 La 2.94
Mn 0.5000 0.0000 0.2500  4 Mn 2.89, 4 Li 2.94, 4 La 2.94
Mn 0.5000 0.0000 0.7500  4 Mn 2.89, 4 Li 2.94, 4 La 2.94

Properties
- energy relative to the lowest polymorph listed for this composition (meV/atom) = 69

Here is a crystal of YInSi3 relaxed with PBEsol from Alexandria. Energies are from SCAN.

Cell: 5.2405 5.2405 5.2405 Å, 90.00 90.00 90.00°
Last column: nearest neighbours and their distance in Å.
Fractional positions:
Y 0.0000 0.0000 0.0000  6 Si 2.62
In 0.5000 0.5000 0.5000  12 Si 3.71
Si 0.0000 0.0000 0.5000  2 Y 2.62
Si 0.0000 0.5000 0.0000  2 Y 2.62
Si 0.5000 0.0000 0.0000  2 Y 2.62

Properties
- E_form (uncorrected) (kJ/mol of atoms) = 106

Here is a crystal of MgAg relaxed with PBEsol from Alexandria. Energies are from SCAN.

Cell: 3.2814 3.2814 3.2814 Å, 90.00 90.00 90.00°
Last column: nearest neighbours and their distance in Å.
Fractional positions:
Mg 0.0000 0.0000 0.0000  8 Ag 2.84
Ag 0.5000 0.5000 0.5000  8 Mg 2.84

Properties
- E (eV per atom) = -18.45

Result set for DOS at the Fermi energy: 6.57 6.09 1.55 0.51 states/eV/cell, one per record in the order listed.
Result set for spin magnetization: 1.04 1.54 0.00 0.00 μB/atom, one per record in the order listed.